La3Lu: relaxed, PBE.

**Calculated formation energy**: 0.04 eV/atom
**Energy**: -38.320 eV/cell

Cell lengths 3.7256, 11.8827, 6.3722 Å; angles 90.00, 90.00, 90.00 degrees
Closest atoms and distances in Å follow each position.
Space group Imm2 (No. 44)
Asymmetric unit:
La 0.0000 0.0000 0.0000  8 La 3.62-3.73, 4 Lu 3.68-3.70
La 0.0000 0.2448 0.3378  3 Lu 3.61-3.71, 9 La 3.62-3.73
Lu 0.0000 0.5000 0.0018  10 La 3.61-3.71, 2 Lu 3.73

***

SrScOs2: relaxed, PBE.

**Calculated formation energy**: 0.39 eV/atom
**Energy**: -28.917 eV/cell

Cell lengths 3.0535, 4.1711, 6.7378 Å; angles 90.00, 90.00, 90.00 degrees
Closest atoms and distances in Å follow each position.
Space group Pmmm (No. 47)
Asymmetric unit:
Sr 0.0000 0.0000 0.0000  2 Sr 3.05, 2 Sc 3.37, 8 Os 3.38
Sc 0.0000 0.0000 0.5000  8 Os 2.85, 2 Sc 3.05
Os 0.5000 0.5000 0.3228  1 Os 2.39